Compound: NiGeN2F
Source: Alexandria
Functional: PBE with a Hubbard U
Structure: optimized geometry

```
data_NiGeN2F
_symmetry_space_group_name_H-M 'P 4/m m m'
_symmetry_Int_Tables_number 123
_symmetry_space_group_name_Hall '-P 4 2'
_cell_length_a 3.774
_cell_length_b 3.774
_cell_length_c 3.850
_cell_angle_alpha 90.00
_cell_angle_beta 90.00
_cell_angle_gamma 90.00
loop_
_atom_site_label
_atom_site_type_symbol
_atom_site_fract_x
_atom_site_fract_y
_atom_site_fract_z
Ni1 Ni 0.000 0.000 0.000
Ge1 Ge 0.500 0.500 0.500
N1 N 0.000 0.500 0.500
F1 F 0.500 0.500 0.000
```

Calculated values
Energy above the lowest structure with this stoichiometry, meV/atom: 0.0
ρ, g/cm³: 5.401
Total magnetic moment, μB per formula unit: 1.49